No. 1
Computed, not measured: Ba2Tc3 after structural relaxation at the GGA-PBE level of DFT.

Cell lengths 4.0382, 4.0382, 10.8067 Å; angles 90.00, 90.00, 120.00 degrees
With the nearest neighbours (Å) after each atom.
Fractional positions:
Ba (0.3333, 0.6667, 0.2793)  4 Tc 3.20-3.34
Ba (0.6667, 0.3333, 0.7207)  4 Tc 3.20-3.34
Tc (0.0000, 0.0000, 0.5000)  6 Ba 3.34
Tc (0.3333, 0.6667, 0.9828)  3 Tc 2.36
Tc (0.6667, 0.3333, 0.0172)  3 Tc 2.36

Values from the calculation:
Fermi-level density of states ... 6.1 states/eV/cell
Total magnetic moment ... 2.81 Bohr magnetons per cell
Energy relative to the elements ... 552.2 kJ/mol of formula units

---

No. 2
Computed, not measured: BaTc3 after structural relaxation at the GGA-PBE level of DFT.

Cell lengths 5.3077, 5.3077, 5.3077 Å; angles 90.00, 90.00, 90.00 degrees
With the nearest neighbours (Å) after each atom.
Fractional positions:
Ba (0.0000, 0.0000, 0.0000)  6 Tc 2.65
Tc (0.0000, 0.0000, 0.5000)  2 Ba 2.65
Tc (0.0000, 0.5000, 0.0000)  2 Ba 2.65
Tc (0.5000, 0.0000, 0.0000)  2 Ba 2.65

Values from the calculation:
Fermi-level density of states ... 4.1 states/eV/cell
Total magnetic moment ... 8.70 Bohr magnetons per cell
Energy relative to the elements ... 1499.3 kJ/mol of formula units

---

No. 3
Computed, not measured: BaTc after structural relaxation at the GGA-PBE level of DFT.

Cell lengths 6.3388, 6.3388, 4.3915 Å; angles 90.00, 90.00, 131.29 degrees
With the nearest neighbours (Å) after each atom.
Fractional positions:
Ba (0.1480, 0.8520, 0.7500)  7 Tc 3.33-3.71
Ba (0.8520, 0.1480, 0.2500)  7 Tc 3.33-3.71
Tc (0.4693, 0.5307, 0.7500)  2 Tc 2.31
Tc (0.5307, 0.4693, 0.2500)  2 Tc 2.31

Values from the calculation:
Fermi-level density of states ... 5.2 states/eV/cell
Total magnetic moment ... 0.00 Bohr magnetons per cell
Energy relative to the elements ... 125.1 kJ/mol of formula units

---

No. 4
Computed, not measured: Ba2Tc after structural relaxation at the GGA-PBE level of DFT.

Cell lengths 6.9691, 6.9691, 6.9691 Å; angles 97.47, 97.47, 137.73 degrees
With the nearest neighbours (Å) after each atom.
Fractional positions:
Ba (0.1616, 0.6616, 0.8232)  2 Ba 3.41, 4 Tc 3.67
Ba (0.3384, 0.1616, 0.5000)  2 Ba 3.41, 4 Tc 3.67
Ba (0.6616, 0.8384, 0.5000)  2 Ba 3.41, 4 Tc 3.67
Ba (0.8384, 0.3384, 0.1768)  2 Ba 3.41, 4 Tc 3.67
Tc (0.2500, 0.2500, 0.0000)  2 Tc 2.51
Tc (0.7500, 0.7500, 0.0000)  2 Tc 2.51

Values from the calculation:
Fermi-level density of states ... 6.3 states/eV/cell
Total magnetic moment ... 3.16 Bohr magnetons per cell
Energy relative to the elements ... 206.2 kJ/mol of formula units

---

No. 5
Computed, not measured: BaTc4 after structural relaxation at the GGA-PBE level of DFT.

Cell lengths 6.1859, 6.1859, 6.1859 Å; angles 138.30, 138.30, 60.44 degrees
With the nearest neighbours (Å) after each atom.
Fractional positions:
Ba (0.0000, 0.0000, 0.0000)  16 Tc 3.44-3.46
Tc (0.2500, 0.7500, 0.5000)  4 Tc 2.52
Tc (0.3642, 0.3642, 0.0000)  4 Tc 2.52
Tc (0.6358, 0.6358, 0.0000)  4 Tc 2.52
Tc (0.7500, 0.2500, 0.5000)  4 Tc 2.52

Values from the calculation:
Fermi-level density of states ... 4.1 states/eV/cell
Total magnetic moment ... 0.00 Bohr magnetons per cell
Energy relative to the elements ... 195.4 kJ/mol of formula units

---

No. 6
Computed, not measured: BaTc3 after structural relaxation at the GGA-PBE level of DFT.

Cell lengths 4.1563, 5.8217, 7.7173 Å; angles 90.00, 90.00, 90.00 degrees
With the nearest neighbours (Å) after each atom.
Fractional positions:
Ba (0.2500, 0.2500, 0.1030)  6 Tc 3.36-3.46
Ba (0.7500, 0.7500, 0.8970)  6 Tc 3.36-3.46
Tc (0.2500, 0.0005, 0.5917)  5 Tc 2.51-2.63
Tc (0.2500, 0.4995, 0.5917)  5 Tc 2.51-2.63
Tc (0.2500, 0.7500, 0.3195)  6 Tc 2.56-2.63
Tc (0.7500, 0.2500, 0.6805)  6 Tc 2.56-2.63
Tc (0.7500, 0.5005, 0.4083)  5 Tc 2.51-2.63
Tc (0.7500, 0.9995, 0.4083)  5 Tc 2.51-2.63

Values from the calculation:
Fermi-level density of states ... 10.4 states/eV/cell
Total magnetic moment ... 0.00 Bohr magnetons per cell
Energy relative to the elements ... 228.4 kJ/mol of formula units

---

No. 7
Computed, not measured: BaTc4 after structural relaxation at the GGA-PBE level of DFT.

Cell lengths 4.8917, 4.8917, 4.8917 Å; angles 90.00, 90.00, 90.00 degrees
With the nearest neighbours (Å) after each atom.
Fractional positions:
Ba (0.0000, 0.0000, 0.0000)  6 Tc 2.45
Tc (0.0000, 0.0000, 0.5000)  2 Ba 2.45
Tc (0.0000, 0.5000, 0.0000)  2 Ba 2.45
Tc (0.5000, 0.0000, 0.0000)  2 Ba 2.45
Tc (0.5000, 0.5000, 0.5000)  12 Tc 3.46

Values from the calculation:
Fermi-level density of states ... 5.5 states/eV/cell
Total magnetic moment ... 0.30 Bohr magnetons per cell
Energy relative to the elements ... 1587.3 kJ/mol of formula units

---

No. 8
Computed, not measured: Ba3Tc after structural relaxation at the GGA-PBE level of DFT.

Cell lengths 7.0775, 7.0775, 7.0775 Å; angles 116.71, 116.71, 116.71 degrees
With the nearest neighbours (Å) after each atom.
Fractional positions:
Ba (0.0000, 0.5000, 0.5000)  6 Ba 3.71-3.90, 2 Tc 3.71
Ba (0.5000, 0.0000, 0.5000)  2 Tc 3.71, 6 Ba 3.71-3.90
Ba (0.5000, 0.5000, 0.0000)  6 Ba 3.71-3.90, 2 Tc 3.71
Tc (0.0000, 0.0000, 0.0000)  6 Ba 3.71, 2 Tc 3.90

Values from the calculation:
Fermi-level density of states ... 5.7 states/eV/cell
Total magnetic moment ... 2.28 Bohr magnetons per cell
Energy relative to the elements ... 383.8 kJ/mol of formula units

---

No. 9
Computed, not measured: BaTcTe4 after structural relaxation at the GGA-PBE level of DFT.

Cell lengths 6.4926, 6.4926, 6.4926 Å; angles 60.00, 60.00, 60.00 degrees
With the nearest neighbours (Å) after each atom.
Fractional positions:
Ba (0.0000, 0.0000, 0.0000)  12 Te 3.81, 4 Tc 3.98
Tc (0.7500, 0.7500, 0.7500)  12 Te 3.80, 4 Ba 3.98
Te (0.3760, 0.3760, 0.3760)  6 Te 3.22-3.27
Te (0.3760, 0.3760, 0.8721)  6 Te 3.22-3.27
Te (0.3760, 0.8721, 0.3760)  6 Te 3.22-3.27
Te (0.8721, 0.3760, 0.3760)  6 Te 3.22-3.27

Values from the calculation:
Fermi-level density of states ... 6.1 states/eV/cell
Total magnetic moment ... 4.59 Bohr magnetons per cell
ΔE_f (raw) ... 0.44 eV per atom

---

No. 10
Computed, not measured: Ba4TcTe after structural relaxation at the GGA-PBE level of DFT.

Cell lengths 7.0982, 7.0982, 7.0982 Å; angles 60.00, 60.00, 60.00 degrees
With the nearest neighbours (Å) after each atom.
Fractional positions:
Ba (0.1248, 0.1248, 0.1248)  6 Ba 3.54-3.55
Ba (0.1248, 0.1248, 0.6256)  6 Ba 3.54-3.55
Ba (0.1248, 0.6256, 0.1248)  6 Ba 3.54-3.55
Ba (0.6256, 0.1248, 0.1248)  6 Ba 3.54-3.55
Tc (0.7500, 0.7500, 0.7500)  12 Ba 4.16, 4 Te 4.35
Te (0.5000, 0.5000, 0.5000)  12 Ba 4.16, 4 Tc 4.35

Values from the calculation:
Fermi-level density of states ... 8.4 states/eV/cell
Total magnetic moment ... 1.66 Bohr magnetons per cell
ΔE_f (raw) ... 0.72 eV per atom

---

No. 11
Computed, not measured: Ba2Tc2Te after structural relaxation at the GGA-PBE level of DFT.

Cell lengths 10.7145, 10.7145, 10.7145 Å; angles 159.96, 159.96, 28.49 degrees
With the nearest neighbours (Å) after each atom.
Fractional positions:
Ba (0.1094, 0.1094, 0.0000)  4 Tc 3.46, 4 Te 3.48, 4 Ba 3.73
Ba (0.8906, 0.8906, 0.0000)  4 Tc 3.46, 4 Te 3.48, 4 Ba 3.73
Tc (0.2500, 0.7500, 0.5000)  4 Tc 2.64
Tc (0.7500, 0.2500, 0.5000)  4 Tc 2.64
Te (0.5000, 0.5000, 0.0000)  8 Ba 3.48, 4 Te 3.73

Values from the calculation:
Fermi-level density of states ... 6.3 states/eV/cell
Total magnetic moment ... 0.00 Bohr magnetons per cell
ΔE_f (raw) ... 0.02 eV per atom

---

No. 12
Computed, not measured: BaTiTc3 after structural relaxation at the GGA-PBE level of DFT.

Cell lengths 4.8042, 4.8042, 4.8042 Å; angles 90.00, 90.00, 90.00 degrees
With the nearest neighbours (Å) after each atom.
Fractional positions:
Ba (0.0000, 0.0000, 0.0000)  12 Tc 3.40
Ti (0.5000, 0.5000, 0.5000)  6 Tc 2.40
Tc (0.0000, 0.5000, 0.5000)  2 Ti 2.40
Tc (0.5000, 0.0000, 0.5000)  2 Ti 2.40
Tc (0.5000, 0.5000, 0.0000)  2 Ti 2.40

Values from the calculation:
Fermi-level density of states ... 9.3 states/eV/cell
Total magnetic moment ... 3.59 Bohr magnetons per cell
Energy relative to the elements ... 560.4 kJ/mol of formula units